(1)
14
Lattice="14.196 0.000 0.000 0.000 2.873 0.000 -2.560 0.000 5.607" Properties=species:S:1:pos:R:3 comment="Ta2MnGa4 (PBE, optimized geometry)" magnetic_moment_mub_per_atom=0.284 volume_a3_per_fu=114 formation_energy_mev_per_atom=26 pbc="T T T"
Ta 2.576 0.000 1.317
Ta 1.962 1.436 4.289
Ta 9.674 1.436 1.317
Ta 9.060 0.000 4.289
Mn 0.000 0.000 0.000
Mn 7.098 1.436 0.000
Ga 0.307 1.436 2.062
Ga -0.447 0.000 4.277
Ga 4.986 1.436 1.330
Ga 4.232 0.000 3.545
Ga 7.404 0.000 2.062
Ga 6.650 1.436 4.277
Ga 12.083 0.000 1.330
Ga 11.329 1.436 3.545

---

(2)
12
Lattice="3.005 0.000 0.000 -1.502 2.602 0.000 0.000 0.000 24.957" Properties=species:S:1:pos:R:3 comment="Ta2MnGa (PBE, optimized geometry)" magnetic_moment_mub_per_atom=0.000 volume_a3_per_fu=65 formation_energy_mev_per_atom=130 pbc="T T T"
Ta 0.000 0.000 6.045
Ta 0.000 0.000 18.912
Ta 0.000 1.735 10.593
Ta 0.000 1.735 22.683
Ta 1.502 0.867 2.274
Ta 1.502 0.867 14.364
Mn 0.000 0.000 12.479
Mn 0.000 1.735 4.160
Mn 1.502 0.867 20.798
Ga 0.000 0.000 0.000
Ga 0.000 1.735 16.638
Ga 1.502 0.867 8.319

---

(3)
12
Lattice="2.891 0.000 0.000 -1.446 2.504 0.000 0.000 0.000 26.103" Properties=species:S:1:pos:R:3 comment="TaMnGa2 (PBE, optimized geometry)" magnetic_moment_mub_per_atom=0.650 volume_a3_per_fu=63 formation_energy_mev_per_atom=-32 pbc="T T T"
Ta 0.000 0.000 0.000
Ta 0.000 1.669 17.402
Ta 1.446 0.835 8.701
Mn 0.000 0.000 21.779
Mn 0.000 1.669 13.078
Mn 1.446 0.835 4.377
Ga 0.000 0.000 11.032
Ga 0.000 0.000 15.099
Ga 0.000 1.669 2.331
Ga 0.000 1.669 6.398
Ga 1.446 0.835 19.733
Ga 1.446 0.835 23.800

---

(4)
6
Lattice="3.165 0.000 0.000 0.000 3.165 0.000 0.000 0.000 8.790" Properties=species:S:1:pos:R:3 comment="TaMnGa (PBE, optimized geometry)" magnetic_moment_mub_per_atom=0.303 volume_a3_per_fu=44 formation_energy_mev_per_atom=-93 pbc="T T T"
Ta 0.000 0.000 0.000
Ta 1.583 1.583 4.395
Mn 0.000 0.000 3.044
Mn 1.583 1.583 7.439
Ga 0.000 0.000 6.046
Ga 1.583 1.583 1.651

---

(5)
4
Lattice="3.930 0.000 0.000 0.000 3.930 0.000 0.000 0.000 3.951" Properties=species:S:1:pos:R:3 comment="TaMnGa2 (PBE, optimized geometry)" magnetic_moment_mub_per_atom=0.710 volume_a3_per_fu=61 formation_energy_mev_per_atom=-128 pbc="T T T"
Ta 0.000 0.000 0.000
Mn 1.965 1.965 0.000
Ga 0.000 1.965 1.975
Ga 1.965 0.000 1.975

---

(6)
8
Lattice="5.143 0.000 0.000 0.000 5.143 0.000 0.000 0.000 5.143" Properties=species:S:1:pos:R:3 comment="Ta6MnGa (PBE, optimized geometry)" magnetic_moment_mub_per_atom=0.034 volume_a3_per_fu=136 formation_energy_mev_per_atom=-78 pbc="T T T"
Ta 0.000 1.310 2.571
Ta 0.000 3.833 2.571
Ta 1.310 2.571 0.000
Ta 2.571 0.000 1.310
Ta 2.571 0.000 3.833
Ta 3.833 2.571 0.000
Mn 2.571 2.571 2.571
Ga 0.000 0.000 0.000

---

(7)
6
Lattice="0.000 3.367 3.367 3.367 0.000 3.367 3.367 3.367 0.000" Properties=species:S:1:pos:R:3 comment="TaMn4Ga (PBE, optimized geometry)" magnetic_moment_mub_per_atom=0.522 volume_a3_per_fu=76 formation_energy_mev_per_atom=-107 pbc="T T T"
Ta 0.000 0.000 0.000
Mn 4.202 2.532 2.532
Mn 2.532 4.202 2.532
Mn 2.532 2.532 4.202
Mn 4.202 4.202 4.202
Ga 1.683 1.683 1.683

---

(8)
16
Lattice="7.089 0.000 0.000 0.000 7.089 0.000 0.000 0.000 5.385" Properties=species:S:1:pos:R:3 comment="Ta2MnGa (PBE, optimized geometry)" magnetic_moment_mub_per_atom=0.000 volume_a3_per_fu=68 formation_energy_mev_per_atom=447 pbc="T T T"
Ta 1.468 1.772 0.673
Ta 1.772 5.012 2.019
Ta 1.772 5.621 4.712
Ta 2.076 1.772 3.366
Ta 5.012 5.317 3.366
Ta 5.317 1.468 4.712
Ta 5.317 2.076 2.019
Ta 5.621 5.317 0.673
Mn 0.000 0.000 0.000
Mn 0.000 3.544 1.346
Mn 3.544 0.000 4.039
Mn 3.544 3.544 2.693
Ga 0.000 0.000 2.693
Ga 0.000 3.544 4.039
Ga 3.544 0.000 1.346
Ga 3.544 3.544 0.000

---

(9)
10
Lattice="3.665 0.000 0.000 0.000 3.665 0.000 0.000 0.000 11.116" Properties=species:S:1:pos:R:3 comment="TaMn2Ga2 (PBE, optimized geometry)" magnetic_moment_mub_per_atom=0.892 volume_a3_per_fu=75 relative_energy_ev_per_fu=0.72 formation_energy_mev_per_atom=90 pbc="T T T"
Ta 0.000 0.000 0.000
Ta 1.833 1.833 5.558
Mn 0.000 1.833 2.779
Mn 0.000 1.833 8.337
Mn 1.833 0.000 2.779
Mn 1.833 0.000 8.337
Ga 0.000 0.000 4.383
Ga 0.000 0.000 6.733
Ga 1.833 1.833 1.175
Ga 1.833 1.833 9.941

---

(10)
10
Lattice="7.136 0.000 0.000 0.000 7.136 0.000 0.000 0.000 2.819" Properties=species:S:1:pos:R:3 comment="TaMn2Ga2 (PBE, optimized geometry)" magnetic_moment_mub_per_atom=0.844 volume_a3_per_fu=72 relative_energy_ev_per_fu=0.00 formation_energy_mev_per_atom=-53 pbc="T T T"
Ta 0.000 0.000 0.000
Ta 3.568 3.568 0.000
Mn 1.224 2.344 1.410
Mn 2.344 5.913 1.410
Mn 4.792 1.224 1.410
Mn 5.913 4.792 1.410
Ga 0.909 4.478 0.000
Ga 2.659 0.909 0.000
Ga 4.478 6.227 0.000
Ga 6.227 2.659 0.000

---

(11)
4
Lattice="4.124 0.000 0.000 0.000 4.124 0.000 0.000 0.000 3.673" Properties=species:S:1:pos:R:3 comment="Ta2MnGa (PBE, optimized geometry)" magnetic_moment_mub_per_atom=0.299 volume_a3_per_fu=62 formation_energy_mev_per_atom=-56 pbc="T T T"
Ta 0.000 2.062 0.000
Ta 2.062 0.000 0.000
Mn 0.000 0.000 1.836
Ga 2.062 2.062 1.836

---

(12)
12
Lattice="4.137 0.000 0.000 -2.068 3.583 0.000 0.000 0.000 12.626" Properties=species:S:1:pos:R:3 comment="TaMnGa2 (PBE, optimized geometry)" magnetic_moment_mub_per_atom=0.618 volume_a3_per_fu=62 formation_energy_mev_per_atom=70 pbc="T T T"
Ta 0.000 0.000 0.000
Ta 0.000 2.388 8.418
Ta 2.068 1.194 4.209
Mn 0.000 0.000 6.313
Mn 0.000 2.388 2.104
Mn 2.068 1.194 10.522
Ga 0.000 0.000 2.938
Ga 0.000 0.000 9.688
Ga 0.000 2.388 5.479
Ga 0.000 2.388 11.356
Ga 2.068 1.194 1.271
Ga 2.068 1.194 7.147

---

(13)
3
Lattice="4.302 0.000 0.000 -2.151 3.725 0.000 0.000 0.000 2.794" Properties=species:S:1:pos:R:3 comment="TaMnGa (PBE, optimized geometry)" magnetic_moment_mub_per_atom=0.406 volume_a3_per_fu=45 formation_energy_mev_per_atom=-69 pbc="T T T"
Ta 0.000 0.000 0.000
Mn 2.151 1.242 0.954
Ga 0.000 2.483 1.457

---

(14)
5
Lattice="4.926 0.000 0.000 0.000 4.926 0.000 0.000 0.000 4.853" Properties=species:S:1:pos:R:3 comment="TaMn2TlGa (PBE, optimized geometry)" magnetic_moment_mub_per_atom=1.110 volume_a3_per_fu=118 formation_energy_mev_per_atom=1711 pbc="T T T"
Ta 0.000 0.000 0.000
Mn 0.000 2.463 2.426
Mn 2.463 0.000 2.426
Tl 2.463 2.463 2.426
Ga 2.463 2.463 0.000

---

(15)
5
Lattice="5.194 0.000 0.000 0.000 5.194 0.000 0.000 0.000 4.728" Properties=species:S:1:pos:R:3 comment="TaMnVGa2 (PBE, optimized geometry)" magnetic_moment_mub_per_atom=0.590 volume_a3_per_fu=128 formation_energy_mev_per_atom=1396 pbc="T T T"
Ta 0.000 0.000 0.000
Mn 0.000 0.000 2.364
V 2.597 2.597 2.364
Ga 0.000 2.597 0.000
Ga 2.597 0.000 0.000

---

(16)
11
Lattice="4.255 0.000 0.000 0.000 4.255 0.000 0.000 0.000 11.342" Properties=species:S:1:pos:R:3 comment="Tb2MnGa8 (PBE, optimized geometry)" magnetic_moment_mub_per_atom=0.193 volume_a3_per_fu=205 formation_energy_mev_per_atom=-422 pbc="T T T"
Tb 0.000 0.000 2.170
Tb 0.000 0.000 9.172
Mn 0.000 0.000 5.671
Ga 0.000 2.128 0.000
Ga 0.000 2.128 4.305
Ga 0.000 2.128 7.037
Ga 2.128 0.000 0.000
Ga 2.128 0.000 4.305
Ga 2.128 0.000 7.037
Ga 2.128 2.128 2.163
Ga 2.128 2.128 9.179

---

(17)
9
Lattice="0.000 4.376 4.376 4.376 0.000 4.376 4.376 4.376 0.000" Properties=species:S:1:pos:R:3 comment="Tb2MnGa6 (PBE, optimized geometry)" magnetic_moment_mub_per_atom=0.259 volume_a3_per_fu=168 formation_energy_mev_per_atom=-526 pbc="T T T"
Tb 2.188 2.188 2.188
Tb 6.564 6.564 6.564
Mn 0.000 0.000 0.000
Ga 4.376 4.376 2.453
Ga 4.376 2.453 4.376
Ga 6.299 4.376 4.376
Ga 2.453 4.376 4.376
Ga 4.376 6.299 4.376
Ga 4.376 4.376 6.299

---

(18)
11
Lattice="4.286 -5.069 0.000 4.286 5.069 0.000 -1.030 0.000 4.585" Properties=species:S:1:pos:R:3 comment="TbMn2Ga8 (PBE, optimized geometry)" magnetic_moment_mub_per_atom=0.219 volume_a3_per_fu=199 formation_energy_mev_per_atom=-133 pbc="T T T"
Tb 0.000 0.000 0.000
Mn 3.771 2.144 2.292
Mn 3.771 -2.144 2.292
Ga 1.269 1.330 2.787
Ga 4.286 2.061 0.000
Ga 1.269 -1.330 2.787
Ga 2.941 0.000 1.129
Ga 4.600 0.000 3.455
Ga 6.273 1.330 1.798
Ga 4.286 -2.061 0.000
Ga 6.273 -1.330 1.798

---

(19)
14
Lattice="-2.111 4.739 6.355 2.111 -4.739 6.355 2.111 4.739 -6.355" Properties=species:S:1:pos:R:3 comment="Tb3Mn2Ga9 (PBE, optimized geometry)" magnetic_moment_mub_per_atom=0.371 volume_a3_per_fu=254 formation_energy_mev_per_atom=-467 pbc="T T T"
Tb 0.000 0.000 0.000
Tb 0.000 0.000 3.804
Tb 0.000 0.000 8.906
Mn 2.111 3.057 0.000
Mn 0.000 1.682 6.355
Ga 2.111 -1.296 1.942
Ga 2.111 -2.046 4.643
Ga 2.111 1.296 1.942
Ga 0.000 2.693 1.712
Ga 0.000 4.739 0.000
Ga 2.111 2.046 4.643
Ga 0.000 3.443 4.414
Ga 0.000 6.784 1.712
Ga 0.000 6.035 4.414

---

(20)
3
Lattice="4.424 0.000 0.000 -2.212 3.832 0.000 0.000 0.000 3.664" Properties=species:S:1:pos:R:3 comment="TbMnGa (PBE, optimized geometry)" magnetic_moment_mub_per_atom=1.048 volume_a3_per_fu=62 formation_energy_mev_per_atom=-251 pbc="T T T"
Tb 0.000 0.000 0.000
Mn 2.212 1.277 1.832
Ga 0.000 2.554 1.832

---

(21)
16
Lattice="4.239 0.000 0.000 0.000 4.239 0.000 0.000 0.000 16.680" Properties=species:S:1:pos:R:3 comment="Tb3MnGa12 (PBE, optimized geometry)" magnetic_moment_mub_per_atom=0.206 volume_a3_per_fu=300 formation_energy_mev_per_atom=-399 pbc="T T T"
Tb 0.000 0.000 0.000
Tb 0.000 0.000 4.375
Tb 0.000 0.000 12.305
Mn 0.000 0.000 8.340
Ga 0.000 2.119 2.174
Ga 0.000 2.119 6.540
Ga 0.000 2.119 10.140
Ga 0.000 2.119 14.506
Ga 2.119 0.000 2.174
Ga 2.119 0.000 6.540
Ga 2.119 0.000 10.140
Ga 2.119 0.000 14.506
Ga 2.119 2.119 0.000
Ga 2.119 2.119 4.219
Ga 2.119 2.119 8.340
Ga 2.119 2.119 12.461

---

(22)
9
Lattice="7.467 0.000 0.000 -3.733 6.466 0.000 0.000 0.000 3.697" Properties=species:S:1:pos:R:3 comment="TbMnGa (PBE, optimized geometry)" magnetic_moment_mub_per_atom=1.045 volume_a3_per_fu=59 formation_energy_mev_per_atom=-193 pbc="T T T"
Tb -2.247 3.891 0.000
Tb 1.487 2.575 0.000
Tb 4.493 0.000 0.000
Mn 0.000 0.000 0.000
Mn 0.000 4.311 1.848
Mn 3.733 2.155 1.848
Ga -1.020 1.766 1.848
Ga 2.040 0.000 1.848
Ga 2.713 4.700 1.848

---

(23)
8
Lattice="4.547 2.625 2.177 -4.547 2.625 2.177 0.000 -5.250 2.177" Properties=species:S:1:pos:R:3 comment="TbMnGa6 (PBE, optimized geometry)" magnetic_moment_mub_per_atom=0.000 volume_a3_per_fu=156 formation_energy_mev_per_atom=-170 pbc="T T T"
Tb 0.000 0.000 0.000
Mn 0.000 0.000 3.265
Ga 0.000 -2.175 2.312
Ga -1.883 1.087 2.312
Ga -1.883 -1.087 4.219
Ga 1.883 1.087 2.312
Ga 1.883 -1.087 4.219
Ga 0.000 2.175 4.219

---

(24)
12
Lattice="5.923 -2.911 0.000 5.923 2.911 0.000 -1.351 0.000 7.130" Properties=species:S:1:pos:R:3 comment="TbMnGa4 (PBE, optimized geometry)" magnetic_moment_mub_per_atom=0.000 volume_a3_per_fu=123 formation_energy_mev_per_atom=-115 pbc="T T T"
Tb 4.910 2.315 5.348
Tb 5.586 -2.315 1.783
Mn 2.962 1.455 0.000
Mn 2.286 -1.455 3.565
Ga 2.002 0.294 5.125
Ga 2.677 -0.294 1.560
Ga 5.042 0.646 0.580
Ga 6.130 0.646 2.985
Ga 4.367 -0.646 4.145
Ga 5.454 -0.646 6.550
Ga 7.819 0.294 5.570
Ga 8.494 -0.294 2.005

---

(25)
6
Lattice="5.335 0.000 0.000 0.000 3.071 0.000 0.000 0.000 7.119" Properties=species:S:1:pos:R:3 comment="TbMnGa (PBE, optimized geometry)" magnetic_moment_mub_per_atom=0.881 volume_a3_per_fu=58 formation_energy_mev_per_atom=-49 pbc="T T T"
Tb 1.334 0.000 1.015
Tb 4.001 0.000 6.104
Mn 0.000 0.000 3.560
Mn 2.667 0.000 3.560
Ga 1.334 1.536 5.304
Ga 4.001 1.536 1.815

---

(26)
16
Lattice="7.089 0.000 0.000 0.000 7.089 0.000 0.000 0.000 7.089" Properties=species:S:1:pos:R:3 comment="TbTmMnGa (PBE, optimized geometry)" magnetic_moment_mub_per_atom=0.828 volume_a3_per_fu=89 formation_energy_mev_per_atom=-167 pbc="T T T"
Tb 0.000 0.000 0.000
Tb 0.000 3.545 3.545
Tb 3.545 0.000 3.545
Tb 3.545 3.545 0.000
Tm 0.000 0.000 3.545
Tm 0.000 3.545 0.000
Tm 3.545 0.000 0.000
Tm 3.545 3.545 3.545
Mn 1.772 1.772 5.317
Mn 1.772 5.317 1.772
Mn 5.317 1.772 1.772
Mn 5.317 5.317 5.317
Ga 1.772 1.772 1.772
Ga 1.772 5.317 5.317
Ga 5.317 1.772 5.317
Ga 5.317 5.317 1.772